A geometry-optimized BaCoSi2 structure, computed with PBE.

The structure in CIF format:
```
data_BaCoSi2
_chemical_formula_sum 'Ba2 Co2 Si4'
_cell_length_a 4.1442
_cell_length_b 6.4132
_cell_length_c 7.5518
_cell_angle_alpha 90.00
_cell_angle_beta 90.00
_cell_angle_gamma 90.00
_space_group_name_H-M_alt 'I m m 2'
_space_group_IT_number 44
loop_
_space_group_symop_operation_xyz
'x,y,z'
'-x,-y,z'
'-x,y,z'
'x,-y,z'
'x+1/2,y+1/2,z+1/2'
'-x+1/2,-y+1/2,z+1/2'
'-x+1/2,y+1/2,z+1/2'
'x+1/2,-y+1/2,z+1/2'
loop_
_atom_site_label
_atom_site_type_symbol
_atom_site_fract_x
_atom_site_fract_y
_atom_site_fract_z
Ba1 Ba 0.0000 0.0000 0.0000
Co1 Co 0.0000 0.5000 0.1208
Si1 Si 0.0000 0.0000 0.5208
Si2 Si 0.0000 0.5000 0.8328
```

Final energy: -4.82 eV/atom
Formation energy from raw total energies: 59 kJ/mol of formula units